The following is a PBE calculation of KCdNiOs2 after structural relaxation, from the Alexandria database.

Values from the calculation:
**D(E_F)**: 1.24 states/eV per atom
**Formation energy**: 3.068 eV/atom
**V**: 19.957 Å³ per atom

Unit cell a=4.7326 b=4.4552 c=4.7326 alpha=90.00 beta=90.00 gamma=90.00
Last column: magnetic moment on the atom in μB.
Element x y z (fractional)
Ni  0.0000  0.5000  0.0000  0.61
Os  0.0000  0.0000  0.5000  1.05
Os  0.5000  0.0000  0.0000  1.08
Cd  0.5000  0.5000  0.5000  -0.02
K  0.0000  0.0000  0.0000  0.00